YBeMo2 | the Alexandria database | PBE | optimized geometry; formation energy from the elements = 404 meV/atom; crystal system = orthorhombic
1.0
2.8640 0.0015 0.0000
-0.8167 2.7450 0.0000
0.0000 0.0000 8.5537
Mo Be Y
2 1 1
direct
0.5000 0.5000 0.2223
0.0000 0.0000 0.9777
0.5000 0.5000 0.7816
0.0000 0.0000 0.5184



TbDySnTe | the Alexandria database | PBE | optimized geometry; formation energy from raw total energies = -1.050 eV per atom; crystal system = trigonal
1.0
4.3936 0.0000 0.0000
2.1968 3.8050 0.0000
2.1968 1.2683 7.2224
Te Sn Tb Dy
1 1 1 1
direct
0.1945 0.1945 0.4164
0.6937 0.6937 0.9188
0.4399 0.4399 0.6804
0.9483 0.9483 0.1551



Sr2BeRhO6 | the Alexandria database | PBE | optimized geometry; formation energy from raw total energies = -1.797 eV per atom; crystal system = trigonal
1.0
-0.3408 5.4698 0.2950
-0.2289 2.4754 4.8931
8.7658 3.1987 1.8699
O Rh Sr Be
12 2 4 2
direct
0.1981 0.1981 0.8874
0.1981 0.7164 0.8874
0.3858 0.3858 0.3729
0.2836 0.8019 0.1126
0.8019 0.2836 0.1126
0.8555 0.3858 0.3729
0.8019 0.8019 0.1126
0.6142 0.1445 0.6271
0.3858 0.8555 0.3729
0.6142 0.6142 0.6271
0.1445 0.6142 0.6271
0.7164 0.1981 0.8874
0.4093 0.4093 0.7720
0.5907 0.5907 0.2280
0.1313 0.1313 0.6061
0.2852 0.2852 0.1445
0.8687 0.8687 0.3939
0.7148 0.7148 0.8555
0.0000 0.0000 0.0000
0.5000 0.5000 0.5000



Pm2HfNpAs4 | the Alexandria database | PBE | optimized geometry; formation energy from the elements = -1176 meV/atom; crystal system = monoclinic
1.0
-2.4711 2.2890 -2.3082
-4.4856 -5.4300 -0.5826
-1.7509 3.8647 5.7069
Pm Np As Hf
2 1 4 1
direct
0.5000 0.0000 0.5000
0.0000 0.5000 0.5000
0.5000 0.5000 0.0000
0.0000 0.2467 0.7663
0.5000 0.7649 0.7716
0.0000 0.7533 0.2337
0.5000 0.2351 0.2284
0.0000 0.0000 0.0000



Number 1: DFT total energy -7.5595 eV per atom. Number 2: DFT total energy -5.1444 eV per atom. Number 3: DFT total energy -6.2160 eV per atom. Number 4: DFT total energy -7.5499 eV per atom.